Density functional theory data (PBE) for a relaxed structure of ScTcAg.

Unit cell a=3.497 b=3.497 c=8.762 alpha=90.00 beta=90.00 gamma=90.00
Fractional positions:
Sc 0.000 0.000 0.000
Sc 0.500 0.500 0.500
Tc 0.000 0.000 0.363
Tc 0.000 0.000 0.637
Ag 0.500 0.500 0.172
Ag 0.500 0.500 0.828

Computed properties:
Polymorph energy (0 for the lowest one) in meV/atom: 311
Space group: No. 123
Formation energy from the elements in eV/f.u.: 0.372

Density functional theory data (PBE) for a relaxed structure of Sc2TcAg.

Unit cell a=5.729 b=5.729 c=5.729 alpha=109.65 beta=107.63 gamma=111.15
Fractional positions:
Sc 0.251 0.000 0.751
Sc 0.251 0.500 0.251
Sc 0.749 0.000 0.249
Sc 0.749 0.500 0.749
Tc 0.250 0.000 0.250
Tc 0.750 0.000 0.750
Ag 0.249 0.499 0.750
Ag 0.751 0.501 0.250

Computed properties:
Polymorph energy (0 for the lowest one) in meV/atom: 107
Space group: No. 74
Formation energy from the elements in eV/f.u.: -0.844

Density functional theory data (PBE) for a relaxed structure of Sc2TcAg.

Unit cell a=4.678 b=4.678 c=4.678 alpha=119.91 beta=119.91 gamma=90.16
Fractional positions:
Sc 0.250 0.750 0.500
Sc 0.750 0.250 0.500
Tc 0.000 0.000 0.000
Ag 0.500 0.500 0.000

Computed properties:
Polymorph energy (0 for the lowest one) in meV/atom: 75
Space group: No. 139
Formation energy from the elements in eV/f.u.: -0.975

Density functional theory data (PBE) for a relaxed structure of Sc2TcAg.

Unit cell a=4.679 b=4.679 c=4.679 alpha=119.96 beta=119.96 gamma=90.07
Fractional positions:
Sc 0.250 0.750 0.500
Sc 0.750 0.250 0.500
Tc 0.000 0.000 0.000
Ag 0.500 0.500 0.000

Computed properties:
Polymorph energy (0 for the lowest one) in meV/atom: 75
Space group: No. 139
Formation energy from the elements in eV/f.u.: -0.973

Density functional theory data (PBE) for a relaxed structure of Sc2TcAg.

Unit cell a=3.296 b=3.296 c=6.821 alpha=90.00 beta=90.00 gamma=90.00
Fractional positions:
Sc 0.000 0.000 0.223
Sc 0.000 0.000 0.777
Tc 0.500 0.500 0.000
Ag 0.500 0.500 0.500

Computed properties:
Polymorph energy (0 for the lowest one) in meV/atom: 0
Space group: No. 123
Formation energy from the elements in eV/f.u.: -1.274

Density functional theory data (PBE) for a relaxed structure of ScTcAg.

Unit cell a=5.237 b=5.237 c=5.237 alpha=142.64 beta=142.64 gamma=53.86
Fractional positions:
Sc 0.000 0.000 0.000
Tc 0.347 0.347 0.000
Ag 0.682 0.682 0.000

Computed properties:
Polymorph energy (0 for the lowest one) in meV/atom: 377
Space group: No. 107
Formation energy from the elements in eV/f.u.: 0.572